1.
The following is a PBE-GGA calculation of a geometry-optimized Pu4S3N structure, from Alexandria.

The structure in extended XYZ format:
```
8
Lattice="5.441 0.000 0.000 0.000 5.441 0.000 0.000 0.000 5.441" Properties=species:S:1:pos:R:3 pbc="T T T"
Pu 2.720 0.000 0.000
Pu 0.000 2.720 0.000
Pu 0.000 0.000 2.720
Pu 2.720 2.720 2.720
S 0.000 2.720 2.720
S 2.720 0.000 2.720
S 2.720 2.720 0.000
N 0.000 0.000 0.000
```

Properties
Symmetry: No. 221
Uncorrected formation energy in eV/atom: -1.43

***

2.
The following is a PBE-GGA calculation of a geometry-optimized Ac3Hg2Pd3 structure, from Alexandria.

The structure in extended XYZ format:
```
16
Lattice="6.251 0.000 0.000 0.000 7.948 -4.589 0.000 0.000 9.177" Properties=species:S:1:pos:R:3 pbc="T T T"
Ac 4.688 2.418 -1.396
Ac 4.688 5.530 3.192
Ac 4.688 0.000 2.792
Ac 1.563 5.530 -3.192
Ac 1.563 2.418 1.396
Ac 1.563 0.000 6.385
Hg 0.000 2.649 4.589
Hg 3.125 5.299 0.000
Hg 0.000 5.299 0.000
Hg 3.125 2.649 4.589
Pd 4.688 5.075 -2.930
Pd 4.688 2.873 1.659
Pd 4.688 0.000 5.860
Pd 1.563 2.873 -1.659
Pd 1.563 5.075 2.930
Pd 1.563 0.000 3.317
```

Properties
Symmetry: No. 193
Relative energy among the computed polymorphs in meV per atom: 72
Formation enthalpy at 0 K in eV/f.u.: -4.936

***

3.
The following is a PBE-GGA calculation of a geometry-optimized PaCo2Rh structure, from Alexandria.

The structure in extended XYZ format:
```
4
Lattice="-1.053 3.075 2.077 -3.134 -1.975 1.336 2.129 -1.323 3.038" Properties=species:S:1:pos:R:3 pbc="T T T"
Co 1.064 -0.662 1.519
Co -1.567 -0.988 0.668
Pa -1.029 -0.112 3.225
Rh -0.526 1.537 1.038
```

Properties
Symmetry: No. 123
Relative energy among the computed polymorphs in meV per atom: 0
Formation enthalpy at 0 K in eV/f.u.: -2.019

***

4.
The following is a PBE-GGA calculation of a geometry-optimized BaTlHg2 structure, from Alexandria.

The structure in extended XYZ format:
```
8
Lattice="-0.400 5.100 1.214 -2.839 -1.234 4.250 7.440 1.250 8.586" Properties=species:S:1:pos:R:3 pbc="T T T"
Tl 0.000 0.000 0.000
Tl 2.710 4.142 6.266
Hg 1.221 3.787 3.541
Hg 0.070 -0.263 4.849
Hg 4.611 2.494 8.120
Hg 2.500 4.213 11.588
Ba -1.620 1.933 2.732
Ba 1.491 0.974 7.784
```

Properties
Symmetry: No. 122
Relative energy among the computed polymorphs in meV per atom: 182
Formation enthalpy at 0 K in eV/f.u.: -0.863

***

5.
The following is a PBE-GGA calculation of a geometry-optimized CrIn2Te structure, from Alexandria.

The structure in extended XYZ format:
```
4
Lattice="-3.695 -2.636 2.591 3.983 1.019 3.228 -1.710 3.413 1.034" Properties=species:S:1:pos:R:3 pbc="T T T"
Cr 1.136 2.216 2.131
In 0.000 0.000 0.000
In 0.144 -0.809 2.909
Te -2.703 0.389 1.812
```

Properties
Symmetry: No. 65
Uncorrected formation energy in eV/atom: 0.28

***

6.
The following is a PBE-GGA calculation of a geometry-optimized TbDyGa structure, from Alexandria.

The structure in extended XYZ format:
```
3
Lattice="-0.725 2.088 -2.679 1.712 -2.141 -2.132 -6.035 -3.308 1.306" Properties=species:S:1:pos:R:3 pbc="T T T"
Tb -2.908 -1.750 -0.577
Ga -0.793 -0.801 -2.661
Dy -4.732 -3.172 -3.442
```

Properties
Symmetry: No. 107
Relative energy among the computed polymorphs in meV per atom: 18
Formation enthalpy at 0 K in eV/f.u.: -1.119

***

7.
The following is a PBE-GGA calculation of a geometry-optimized Hf3PCl structure, from Alexandria.

The structure in extended XYZ format:
```
5
Lattice="-4.015 2.679 -0.769 -2.678 -4.082 -0.236 -0.771 0.228 4.821" Properties=species:S:1:pos:R:3 pbc="T T T"
P 0.000 0.000 0.000
Hf -1.339 -2.041 -0.118
Hf -0.386 0.114 2.410
Hf -2.008 1.339 -0.384
Cl -3.732 -0.588 1.908
```

Properties
Symmetry: No. 221
Relative energy among the computed polymorphs in meV per atom: 0
Uncorrected formation energy in eV/atom: 0.24

***

8.
The following is a PBE-GGA calculation of a geometry-optimized K2HgRu structure, from Alexandria.

The structure in extended XYZ format:
```
4
Lattice="5.034 0.000 0.000 0.000 3.305 0.103 0.000 1.349 7.540" Properties=species:S:1:pos:R:3 pbc="T T T"
Hg 2.517 2.906 5.346
K 0.000 4.492 7.155
K 2.517 1.327 2.384
Ru 0.000 2.910 4.225
```

Properties
Symmetry: No. 6
Formation enthalpy at 0 K in eV/f.u.: 2.737

***

9.
The following is a PBE-GGA calculation of a geometry-optimized Ba2HfCr structure, from Alexandria.

The structure in extended XYZ format:
```
8
Lattice="-0.087 11.857 2.315 -12.080 -0.056 -0.171 -6.116 5.429 3.486" Properties=species:S:1:pos:R:3 pbc="T T T"
Cr -6.084 5.901 1.072
Cr -12.140 5.637 2.194
Hf 0.000 0.000 0.000
Hf -6.143 11.594 3.437
Ba -3.079 6.848 1.924
Ba -9.104 4.718 1.428
Ba -11.099 8.489 3.391
Ba -13.284 14.408 4.519
```

Properties
Symmetry: No. 122
Relative energy among the computed polymorphs in meV per atom: 0
Formation enthalpy at 0 K in eV/f.u.: 3.943

***

10.
The following is a PBE-GGA calculation of a geometry-optimized Be2InSb structure, from Alexandria.

The structure in extended XYZ format:
```
4
Lattice="4.920 0.011 -0.009 0.737 4.864 0.009 -2.249 -3.110 3.078" Properties=species:S:1:pos:R:3 pbc="T T T"
Sb 0.658 2.096 1.544
Be 0.033 0.028 0.000
Be 2.796 2.410 0.000
In 2.750 -0.331 1.534
```

Properties
Symmetry: No. 71
Relative energy among the computed polymorphs in meV per atom: 384
Uncorrected formation energy in eV/atom: 0.65

***

11.
The following is a PBE-GGA calculation of a geometry-optimized Mg2AlB structure, from Alexandria.

The structure in extended XYZ format:
```
12
Lattice="-2.741 -1.140 2.086 3.428 -0.479 1.087 -0.403 17.074 8.800" Properties=species:S:1:pos:R:3 pbc="T T T"
Mg -0.338 14.303 7.372
Mg 1.168 7.912 5.859
Mg -0.754 2.001 3.258
Mg -0.122 5.153 2.656
Mg 0.981 15.836 9.943
Mg -0.941 9.925 7.342
B -0.173 7.346 3.786
B 1.332 0.955 2.273
B -0.992 12.117 8.472
Al -0.030 1.270 0.655
Al 1.073 11.953 7.941
Al -0.849 6.042 5.341
```

Properties
Symmetry: No. 160
Relative energy among the computed polymorphs in meV per atom: 36
Formation enthalpy at 0 K in eV/f.u.: 0.588

***

12.
The following is a PBE-GGA calculation of a geometry-optimized ZrAl2B2 structure, from Alexandria.

The structure in extended XYZ format:
```
10
Lattice="6.242 0.000 0.000 0.000 6.242 0.000 0.000 0.000 3.371" Properties=species:S:1:pos:R:3 pbc="T T T"
B 2.526 5.647 0.000
B 5.647 3.716 0.000
B 3.716 0.595 0.000
B 0.595 2.526 0.000
Al 1.037 4.158 1.686
Al 4.158 5.205 1.686
Al 5.205 2.084 1.686
Al 2.084 1.037 1.686
Zr 0.000 0.000 0.000
Zr 3.121 3.121 0.000
```

Properties
Symmetry: No. 127
Relative energy among the computed polymorphs in meV per atom: 282
Formation enthalpy at 0 K in eV/f.u.: 0.036

***

In eV per atom, the electronic total energy values for the records above are, in order, -11.19 -4.18 -8.27 -1.44 -4.28 -4.46 -7.18 -2.26 -4.87 -2.93 -3.26 -5.87.
In g/cm3, the ρ values for the records above are, in order, 11.20 10.21 12.54 8.26 6.66 8.21 8.56 5.06 4.67 5.74 1.97 4.22.